Below is a geometry-optimized Pm2Ho5Er5 structure, with properties calculated at the PBE-GGA level.

As for the space-group type: P-1, No. 2. The calculated formation energy comes out at 24.9 kJ/mol of formula units.

a b c (Å): 4.998 7.911 10.614
angles (deg): 72.63 76.36 71.52
Positions (direct):
Pm 0.083 0.583 0.251
Pm 0.917 0.417 0.749
Ho 0.666 0.667 0.000
Ho 0.500 0.500 0.500
Ho 0.334 0.333 0.000
Ho 0.585 0.081 0.750
Ho 0.415 0.919 0.250
Er 0.000 0.000 0.000
Er 0.168 0.165 0.500
Er 0.751 0.248 0.250
Er 0.832 0.835 0.500
Er 0.249 0.752 0.750



Below is a geometry-optimized Pm7HoEr3 structure, with properties calculated at the PBE-GGA level.

As for the space-group type: C2/m, No. 12. The calculated formation energy comes out at 249.5 kJ/mol of formula units. The distance to the lowest polymorph of the same formula comes out at 0.052 eV/atom.

a b c (Å): 5.863 8.518 8.518
angles (deg): 83.17 110.17 110.17
Positions (direct):
Pm 0.307 0.597 0.018
Pm 0.693 0.982 0.403
Pm 0.790 0.791 0.791
Pm 0.000 0.500 0.500
Pm 0.307 0.018 0.597
Pm 0.210 0.209 0.209
Pm 0.693 0.403 0.982
Er 0.500 0.000 0.000
Er 0.000 0.205 0.795
Er 0.000 0.795 0.205
Ho 0.500 0.500 0.500



Below is a geometry-optimized Pm3HoEr2 structure, with properties calculated at the PBE-GGA level.

As for the space-group type: C2/c, No. 15. The calculated formation energy comes out at 2.7 kJ/mol of formula units.

a b c (Å): 7.217 6.257 9.607
angles (deg): 102.55 112.06 90.00
Positions (direct):
Pm 0.958 0.973 0.665
Pm 0.872 0.250 0.000
Pm 0.128 0.750 0.000
Pm 0.042 0.027 0.335
Pm 0.293 0.527 0.335
Pm 0.707 0.473 0.665
Ho 0.623 0.750 0.000
Ho 0.377 0.250 0.000
Er 0.458 0.971 0.668
Er 0.790 0.529 0.332
Er 0.542 0.029 0.332
Er 0.210 0.471 0.668



Below is a geometry-optimized PmHo2Er4 structure, with properties calculated at the PBE-GGA level.

As for the space-group type: P2_1/m, No. 11. The calculated formation energy comes out at 88.2 kJ/mol of formula units.

a b c (Å): 6.029 6.539 11.586
angles (deg): 90.00 106.28 90.00
Positions (direct):
Ho 0.611 0.750 0.009
Ho 0.389 0.250 0.991
Ho 0.709 0.750 0.551
Ho 0.291 0.250 0.449
Er 0.858 0.250 0.578
Er 0.635 0.492 0.290
Er 0.142 0.750 0.422
Er 0.019 0.250 0.164
Er 0.365 0.508 0.710
Er 0.635 0.008 0.290
Er 0.365 0.992 0.710
Er 0.981 0.750 0.836
Pm 0.177 0.750 0.136
Pm 0.823 0.250 0.864



Below is a geometry-optimized Pm5HoEr2 structure, with properties calculated at the PBE-GGA level.

As for the space-group type: C2/c, No. 15. The calculated formation energy comes out at 216.6 kJ/mol of formula units. The distance to the lowest polymorph of the same formula comes out at 0.264 eV/atom.

a b c (Å): 14.594 14.594 8.710
angles (deg): 63.19 63.19 122.59
Positions (direct):
Pm 0.126 0.995 0.877
Pm 0.374 0.626 0.250
Pm 0.626 0.374 0.750
Pm 0.170 0.475 0.170
Pm 0.475 0.170 0.670
Pm 0.995 0.126 0.377
Pm 0.830 0.525 0.830
Pm 0.525 0.830 0.330
Pm 0.005 0.874 0.623
Pm 0.874 0.005 0.123
Er 0.500 0.500 0.000
Er 0.500 0.000 0.000
Er 0.000 0.500 0.500
Er 0.500 0.500 0.500
Ho 0.796 0.204 0.250
Ho 0.204 0.796 0.750



Below is a geometry-optimized Pm4Ho7Er structure, with properties calculated at the PBE-GGA level.

As for the space-group type: C2/m, No. 12. The calculated formation energy comes out at 321.3 kJ/mol of formula units. The distance to the lowest polymorph of the same formula comes out at 0.189 eV/atom.

a b c (Å): 5.893 11.628 6.718
angles (deg): 83.69 63.99 75.32
Positions (direct):
Ho 0.368 0.494 0.769
Ho 0.212 0.076 0.500
Ho 0.632 0.506 0.231
Ho 0.931 0.310 0.829
Ho 0.788 0.924 0.500
Ho 0.500 0.000 0.000
Ho 0.069 0.690 0.171
Pm 0.359 0.777 0.505
Pm 0.641 0.223 0.495
Pm 0.221 0.334 0.223
Pm 0.779 0.666 0.777
Er 0.000 0.000 0.000